A) Material: BAs2WBr
Method: DFT, PBE
State: optimized geometry

Computed properties:
- size of the total moment (Bohr magnetons per cell) = 0.0
- symmetry = No. 123

Cell lengths 4.3159, 4.3159, 4.4724 Å; angles 90.00, 90.00, 90.00 degrees
Last column: nearest neighbours and their distance in Å.
Fractional coordinates of all 5 atoms:
B 0.0000 0.0000 0.0000  4 As 2.16, 2 Br 2.24
As 0.0000 0.5000 0.0000  2 B 2.16
As 0.5000 0.0000 0.0000  2 B 2.16
W 0.5000 0.5000 0.5000  4 Br 3.05, 8 As 3.11
Br 0.0000 0.0000 0.5000  2 B 2.24

=====

B) Material: BAs2WBr
Method: DFT, PBE
State: optimized geometry

Computed properties:
- size of the total moment (Bohr magnetons per cell) = 0.1
- symmetry = No. 123

Cell lengths 4.8449, 4.8449, 5.3344 Å; angles 90.00, 90.00, 90.00 degrees
Last column: nearest neighbours and their distance in Å.
Fractional coordinates of all 5 atoms:
B 0.0000 0.0000 0.0000  4 Br 3.43, 8 As 3.60
As 0.0000 0.5000 0.5000  2 W 2.42
As 0.5000 0.0000 0.5000  2 W 2.42
W 0.5000 0.5000 0.5000  4 As 2.42, 2 Br 2.67
Br 0.5000 0.5000 0.0000  2 W 2.67

=====

Most stable structure, least stable structure: B), A).

=====

A) Material: ZnBAs2Br
Method: DFT, PBE
State: optimized geometry

Computed properties:
- size of the total moment (Bohr magnetons per cell) = 0.0
- symmetry = No. 123

Cell lengths 4.3453, 4.3453, 5.1950 Å; angles 90.00, 90.00, 90.00 degrees
Last column: nearest neighbours and their distance in Å.
Fractional coordinates of all 5 atoms:
Zn 0.0000 0.0000 0.0000  4 Br 3.07, 8 As 3.39
B 0.5000 0.5000 0.5000  4 As 2.17
As 0.0000 0.5000 0.5000  2 B 2.17
As 0.5000 0.0000 0.5000  2 B 2.17
Br 0.5000 0.5000 0.0000  2 B 2.60

=====

B) Material: ZnBAs2Br
Method: DFT, PBE
State: optimized geometry

Computed properties:
- size of the total moment (Bohr magnetons per cell) = 0.0
- symmetry = No. 123

Cell lengths 4.7704, 4.7704, 5.4722 Å; angles 90.00, 90.00, 90.00 degrees
Last column: nearest neighbours and their distance in Å.
Fractional coordinates of all 5 atoms:
Zn 0.0000 0.0000 0.0000  4 As 2.39
B 0.5000 0.5000 0.5000  4 Br 3.37, 8 As 3.63
As 0.0000 0.5000 0.0000  2 Zn 2.39
As 0.5000 0.0000 0.0000  2 Zn 2.39
Br 0.0000 0.0000 0.5000  2 Zn 2.74

=====

Most stable structure, least stable structure: A), B).

=====

A) Material: ZnBAsBr2
Method: DFT, PBE
State: optimized geometry

Computed properties:
- size of the total moment (Bohr magnetons per cell) = 0.0
- symmetry = No. 123

Cell lengths 4.6821, 4.6821, 4.6467 Å; angles 90.00, 90.00, 90.00 degrees
Last column: nearest neighbours and their distance in Å.
Fractional coordinates of all 5 atoms:
Zn 0.0000 0.0000 0.0000  8 Br 3.30, 4 As 3.31
B 0.5000 0.5000 0.5000  2 As 2.32, 4 Br 2.34
As 0.5000 0.5000 0.0000  2 B 2.32
Br 0.0000 0.5000 0.5000  2 B 2.34
Br 0.5000 0.0000 0.5000  2 B 2.34

=====

B) Material: ZnBAsBr2
Method: DFT, PBE
State: optimized geometry

Computed properties:
- size of the total moment (Bohr magnetons per cell) = 1.1
- symmetry = No. 123

Cell lengths 5.2024, 5.2024, 4.9185 Å; angles 90.00, 90.00, 90.00 degrees
Last column: nearest neighbours and their distance in Å.
Fractional coordinates of all 5 atoms:
Zn 0.0000 0.0000 0.0000  2 As 2.46, 4 Br 2.60
B 0.5000 0.5000 0.5000  8 Br 3.58, 4 As 3.68
As 0.0000 0.0000 0.5000  2 Zn 2.46
Br 0.0000 0.5000 0.0000  2 Zn 2.60
Br 0.5000 0.0000 0.0000  2 Zn 2.60

=====

Most stable structure, least stable structure: A), B).

=====

A) Material: B2AsC2
Method: DFT, PBE
State: optimized geometry

Computed properties:
- size of the total moment (Bohr magnetons per cell) = 0.0
- symmetry = No. 127

Cell lengths 6.1234, 6.1234, 2.5856 Å; angles 90.00, 90.00, 90.00 degrees
Last column: nearest neighbours and their distance in Å.
Fractional coordinates of all 10 atoms:
B 0.1051 0.3949 0.0000  4 C 1.78, 1 B 1.82
B 0.3949 0.8949 0.0000  4 C 1.78, 1 B 1.82
B 0.6051 0.1051 0.0000  4 C 1.78, 1 B 1.82
B 0.8949 0.6051 0.0000  4 C 1.78, 1 B 1.82
As 0.0000 0.0000 0.5000  4 C 2.55, 2 As 2.59, 8 B 2.82
As 0.5000 0.5000 0.5000  4 C 2.55, 2 As 2.59, 8 B 2.82
C 0.0939 0.5939 0.5000  1 C 1.63, 4 B 1.78
C 0.4061 0.0939 0.5000  1 C 1.63, 4 B 1.78
C 0.5939 0.9061 0.5000  1 C 1.63, 4 B 1.78
C 0.9061 0.4061 0.5000  1 C 1.63, 4 B 1.78

=====

B) Material: B2AsC2
Method: DFT, PBE
State: optimized geometry

Computed properties:
- size of the total moment (Bohr magnetons per cell) = 0.0
- symmetry = No. 139

Cell lengths 6.3080, 6.3080, 6.3080 Å; angles 154.29, 154.29, 36.68 degrees
Last column: nearest neighbours and their distance in Å.
Fractional coordinates of all 5 atoms:
B 0.2500 0.7500 0.5000  4 C 1.66
B 0.7500 0.2500 0.5000  4 C 1.66
As 0.0000 0.0000 0.0000  4 As 2.81, 8 C 2.90
C 0.3236 0.3236 0.0000  4 B 1.66
C 0.6764 0.6764 0.0000  4 B 1.66

=====

Most stable structure, least stable structure: B), A).